Crystalline Hf2VSe at its relaxed geometry. Source: the Alexandria database, functional PBE.

Calculated values
The energy is -62.7 eV for the cell shown. As for the space group: I-42d, No. 122. For the raw formation energy, the calculation gives 0.291 eV/atom.

Cell lengths 4.0662, 4.0662, 10.1987 Å; angles 78.50, 78.50, 90.00 degrees
Last column: magnetic moment on the atom in μB.
Fractional positions:
Hf (0.6302, 0.1250, 0.2500)  -0.08
Hf (0.8750, 0.8802, 0.7500)  -0.08
Hf (0.3750, 0.3698, 0.7500)  -0.08
Hf (0.1198, 0.6250, 0.2500)  -0.08
Se (0.0000, 0.0000, 0.0000)  -0.02
Se (0.7500, 0.2500, 0.5000)  -0.02
V (0.5000, 0.5000, 0.0000)  1.91
V (0.2500, 0.7500, 0.5000)  1.91